Below is crystalline SbTe2MoN at its relaxed geometry, with properties calculated at the PBE level.

Computed properties:
raw total energy	-5.671	eV per atom
symmetry	P4/mmm, No. 123
density of states at the Fermi level	3.410	states/eV per cell
ΔE to the lowest computed polymorph	0	meV/atom

Cell and atoms, written as POSCAR:
```
SbTe2MoN
1.0
5.5113 0.0000 0.0000
0.0000 5.5113 0.0000
0.0000 0.0000 3.8176
Sb Te Mo N
1 2 1 1
Cartesian
0.0000 0.0000 0.0000
0.0000 2.7556 1.9088
2.7556 0.0000 1.9088
2.7556 2.7556 1.9088
2.7556 2.7556 0.0000
```

Below is crystalline SbTe2MoN at its relaxed geometry, with properties calculated at the PBE level.

Computed properties:
raw total energy	-4.532	eV per atom
symmetry	P4/mmm, No. 123
density of states at the Fermi level	5.410	states/eV per cell
ΔE to the lowest computed polymorph	1140	meV/atom

Cell and atoms, written as POSCAR:
```
SbTe2MoN
1.0
5.2930 0.0000 0.0000
0.0000 5.2930 0.0000
0.0000 0.0000 5.3034
Sb Te Mo N
1 2 1 1
Cartesian
0.0000 0.0000 0.0000
0.0000 2.6465 2.6517
2.6465 0.0000 2.6517
0.0000 0.0000 2.6517
2.6465 2.6465 0.0000
```

Below is crystalline SbTe2MoN at its relaxed geometry, with properties calculated at the PBE level.

Computed properties:
raw total energy	-4.608	eV per atom
symmetry	P4/mmm, No. 123
density of states at the Fermi level	3.688	states/eV per cell
ΔE to the lowest computed polymorph	1064	meV/atom

Cell and atoms, written as POSCAR:
```
SbTe2MoN
1.0
5.7681 0.0000 0.0000
0.0000 5.7681 0.0000
0.0000 0.0000 3.9043
Sb Te Mo N
1 2 1 1
Cartesian
0.0000 0.0000 0.0000
0.0000 2.8841 0.0000
2.8841 0.0000 0.0000
2.8841 2.8841 1.9521
0.0000 0.0000 1.9521
```

Below is crystalline SbMoWN2 at its relaxed geometry, with properties calculated at the PBE level.

Computed properties:
raw total energy	-6.592	eV per atom
symmetry	P4/mmm, No. 123
density of states at the Fermi level	6.177	states/eV per cell

Cell and atoms, written as POSCAR:
```
SbMoWN2
1.0
3.9364 0.0000 0.0000
0.0000 3.9364 0.0000
0.0000 0.0000 5.4629
Sb Mo W N
1 1 1 2
Cartesian
0.0000 0.0000 0.0000
1.9682 1.9682 2.7314
0.0000 0.0000 2.7314
0.0000 1.9682 0.0000
1.9682 0.0000 0.0000
```

Below is crystalline Sc2Mo2N at its relaxed geometry, with properties calculated at the PBE level.

Computed properties:
raw total energy	-6.809	eV per atom
symmetry	I4/mmm, No. 139
density of states at the Fermi level	7.290	states/eV per cell
ΔE to the lowest computed polymorph	1639	meV/atom

Cell and atoms, written as POSCAR:
```
Sc2Mo2N
1.0
-1.6496 1.6496 7.5684
1.6496 -1.6496 7.5684
1.6496 1.6496 -7.5684
Sc Mo N
2 2 1
Cartesian
1.6496 0.0000 3.7842
0.0000 1.6496 3.7842
0.0000 0.0000 1.1615
0.0000 0.0000 13.9753
0.0000 0.0000 7.5684
```

Below is crystalline ScMoN2 at its relaxed geometry, with properties calculated at the PBE level.

Computed properties:
raw total energy	-9.280	eV per atom
symmetry	I-42d, No. 122
density of states at the Fermi level	5.252	states/eV per cell
ΔE to the lowest computed polymorph	289	meV/atom

Cell and atoms, written as POSCAR:
```
ScMoN2
1.0
-2.3671 2.3671 4.8308
2.3671 -2.3671 4.8308
2.3671 2.3671 -4.8308
Sc Mo N
2 2 4
Cartesian
0.0000 0.0000 0.0000
0.0000 2.3671 2.4154
2.3671 0.0000 2.4154
0.0000 0.0000 4.8308
1.1836 -1.0580 3.6231
1.3091 1.1836 1.2077
1.1836 3.4252 -1.2077
1.0580 1.1836 6.0385
```

Below is crystalline Sc2MoN4 at its relaxed geometry, with properties calculated at the PBE level.

Computed properties:
raw total energy	-8.848	eV per atom
symmetry	I4/mmm, No. 139
density of states at the Fermi level	1.489	states/eV per cell

Cell and atoms, written as POSCAR:
```
Sc2MoN4
1.0
-1.9497 1.9497 5.6269
1.9497 -1.9497 5.6269
1.9497 1.9497 -5.6269
Sc Mo N
2 1 4
Cartesian
0.0000 0.0000 1.6098
0.0000 0.0000 9.6439
0.0000 0.0000 5.6269
1.9497 0.0000 0.0000
0.0000 0.0000 3.5951
0.0000 1.9497 0.0000
0.0000 0.0000 7.6586
```

Below is crystalline ScMoN3 at its relaxed geometry, with properties calculated at the PBE level.

Computed properties:
raw total energy	-7.118	eV per atom
symmetry	Pm-3m, No. 221
density of states at the Fermi level	5.984	states/eV per cell

Cell and atoms, written as POSCAR:
```
ScMoN3
1.0
3.9360 0.0000 0.0000
0.0000 3.9360 0.0000
0.0000 0.0000 3.9360
Sc Mo N
1 1 3
Cartesian
0.0000 0.0000 0.0000
1.9680 1.9680 1.9680
0.0000 0.0000 1.9680
0.0000 1.9680 0.0000
1.9680 0.0000 0.0000
```

Below is crystalline ScMoN2 at its relaxed geometry, with properties calculated at the PBE level.

Computed properties:
raw total energy	-8.875	eV per atom
symmetry	Fm-3m, No. 225
density of states at the Fermi level	1.970	states/eV per cell
ΔE to the lowest computed polymorph	695	meV/atom

Cell and atoms, written as POSCAR:
```
ScMoN2
1.0
0.0000 2.7155 2.7155
2.7155 0.0000 2.7155
2.7155 2.7155 0.0000
Sc Mo N
1 1 2
Cartesian
0.0000 0.0000 0.0000
2.7155 2.7155 2.7155
1.3578 1.3578 1.3578
4.0733 4.0733 4.0733
```

Below is crystalline Sc2MoN at its relaxed geometry, with properties calculated at the PBE level.

Computed properties:
raw total energy	-7.329	eV per atom
symmetry	Fm-3m, No. 225
density of states at the Fermi level	3.015	states/eV per cell
ΔE to the lowest computed polymorph	1147	meV/atom

Cell and atoms, written as POSCAR:
```
Sc2MoN
1.0
0.0000 3.1414 3.1414
3.1414 0.0000 3.1414
3.1414 3.1414 0.0000
Sc Mo N
2 1 1
Cartesian
1.5707 1.5707 1.5707
4.7120 4.7120 4.7120
0.0000 0.0000 0.0000
3.1414 3.1414 3.1414
```

Below is crystalline Sc2MoN at its relaxed geometry, with properties calculated at the PBE level.

Computed properties:
raw total energy	-7.513	eV per atom
symmetry	R-3m, No. 166
density of states at the Fermi level	2.696	states/eV per cell
ΔE to the lowest computed polymorph	963	meV/atom

Cell and atoms, written as POSCAR:
```
Sc2MoN
1.0
1.6503 0.9528 8.2129
-1.6503 0.9528 8.2129
0.0000 -1.9056 8.2129
Sc Mo N
2 1 1
Cartesian
0.0000 0.0000 1.8964
0.0000 0.0000 22.7424
0.0000 0.0000 12.3194
0.0000 0.0000 0.0000
```

Below is crystalline ScMoN2 at its relaxed geometry, with properties calculated at the PBE level.

Computed properties:
raw total energy	-9.569	eV per atom
symmetry	R-3m, No. 166
density of states at the Fermi level	1.188	states/eV per cell
ΔE to the lowest computed polymorph	0	meV/atom

Cell and atoms, written as POSCAR:
```
ScMoN2
1.0
1.5443 0.8916 5.1469
-1.5443 0.8916 5.1469
0.0000 -1.7832 5.1469
Sc Mo N
1 1 2
Cartesian
0.0000 0.0000 0.0000
0.0000 0.0000 7.7203
0.0000 0.0000 3.8586
0.0000 0.0000 11.5821
```

Copy entry 8 word for word.
Below is crystalline ScMoN3 at its relaxed geometry, with properties calculated at the PBE level.

Computed properties:
raw total energy	-7.118	eV per atom
symmetry	Pm-3m, No. 221
density of states at the Fermi level	5.984	states/eV per cell

Cell and atoms, written as POSCAR:
```
ScMoN3
1.0
3.9360 0.0000 0.0000
0.0000 3.9360 0.0000
0.0000 0.0000 3.9360
Sc Mo N
1 1 3
Cartesian
0.0000 0.0000 0.0000
1.9680 1.9680 1.9680
0.0000 0.0000 1.9680
0.0000 1.9680 0.0000
1.9680 0.0000 0.0000
```

Repeat the fifth record exactly.
Below is crystalline Sc2Mo2N at its relaxed geometry, with properties calculated at the PBE level.

Computed properties:
raw total energy	-6.809	eV per atom
symmetry	I4/mmm, No. 139
density of states at the Fermi level	7.290	states/eV per cell
ΔE to the lowest computed polymorph	1639	meV/atom

Cell and atoms, written as POSCAR:
```
Sc2Mo2N
1.0
-1.6496 1.6496 7.5684
1.6496 -1.6496 7.5684
1.6496 1.6496 -7.5684
Sc Mo N
2 2 1
Cartesian
1.6496 0.0000 3.7842
0.0000 1.6496 3.7842
0.0000 0.0000 1.1615
0.0000 0.0000 13.9753
0.0000 0.0000 7.5684
```